No. 1
DFT (PBEsol) results for a geometry-optimized BeTe structure.

Output
mass density = 5.1 g/cm3
uncorrected formation energy = -0.3454 eV/atom

a b c (Å): 5.612 5.612 5.612
angles (deg): 90.00 90.00 90.00
Fractional coordinates of all 8 atoms:
Be 0.000 0.000 0.000
Be 0.000 0.500 0.500
Be 0.500 0.000 0.500
Be 0.500 0.500 0.000
Te 0.250 0.250 0.250
Te 0.250 0.750 0.750
Te 0.750 0.250 0.750
Te 0.750 0.750 0.250

No. 2
DFT (PBEsol) results for a geometry-optimized BeTe structure.

Output
mass density = 4.9 g/cm3
uncorrected formation energy = -0.2541 eV/atom

a b c (Å): 3.918 3.918 6.953
angles (deg): 90.00 90.00 120.00
Fractional coordinates of all 4 atoms:
Be 0.333 0.667 0.112
Be 0.667 0.333 0.888
Te 0.333 0.667 0.753
Te 0.667 0.333 0.247

No. 3
DFT (PBEsol) results for a geometry-optimized BeTe structure.

Output
mass density = 4.9 g/cm3
uncorrected formation energy = -0.2520 eV/atom

a b c (Å): 3.921 3.921 21.000
angles (deg): 90.00 90.00 120.00
Fractional coordinates of all 12 atoms:
Be 0.000 0.000 0.129
Be 0.000 0.000 0.871
Be 0.333 0.667 0.537
Be 0.333 0.667 0.796
Be 0.667 0.333 0.204
Be 0.667 0.333 0.463
Te 0.000 0.000 0.248
Te 0.000 0.000 0.752
Te 0.333 0.667 0.418
Te 0.333 0.667 0.915
Te 0.667 0.333 0.085
Te 0.667 0.333 0.582

No. 4
DFT (PBEsol) results for a geometry-optimized Be3Te4 structure.

Output
mass density = 5.6 g/cm3
uncorrected formation energy = 0.4534 eV/atom

a b c (Å): 4.699 4.699 8.352
angles (deg): 90.00 90.00 120.00
Fractional coordinates of all 7 atoms:
Be 0.000 0.500 0.000
Be 0.500 0.000 0.000
Be 0.500 0.500 0.000
Te 0.000 0.000 0.197
Te 0.000 0.000 0.803
Te 0.333 0.667 0.500
Te 0.667 0.333 0.500

No. 5
DFT (PBEsol) results for a geometry-optimized Be4Te structure.

Output
mass density = 4.3 g/cm3
uncorrected formation energy = 0.5973 eV/atom

a b c (Å): 5.925 5.925 3.568
angles (deg): 90.00 90.00 90.00
Fractional coordinates of all 10 atoms:
Be 0.070 0.338 0.000
Be 0.162 0.570 0.500
Be 0.338 0.930 0.000
Be 0.430 0.162 0.500
Be 0.570 0.838 0.500
Be 0.662 0.070 0.000
Be 0.838 0.430 0.500
Be 0.930 0.662 0.000
Te 0.000 0.000 0.500
Te 0.500 0.500 0.000

No. 6
DFT (PBEsol) results for a geometry-optimized TiBeTe3 structure.

Output
mass density = 5.1 g/cm3
uncorrected formation energy = 0.4717 eV/atom

a b c (Å): 5.243 5.243 5.243
angles (deg): 90.00 90.00 90.00
Fractional coordinates of all 5 atoms:
Ti 0.000 0.000 0.000
Be 0.500 0.500 0.500
Te 0.000 0.000 0.500
Te 0.000 0.500 0.000
Te 0.500 0.000 0.000

Q: The highest mass density belongs to which entry?
A: Be3Te4

Copy entry 6 word for word.
DFT (PBEsol) results for a geometry-optimized TiBeTe3 structure.

Output
mass density = 5.1 g/cm3
uncorrected formation energy = 0.4717 eV/atom

a b c (Å): 5.243 5.243 5.243
angles (deg): 90.00 90.00 90.00
Fractional coordinates of all 5 atoms:
Ti 0.000 0.000 0.000
Be 0.500 0.500 0.500
Te 0.000 0.000 0.500
Te 0.000 0.500 0.000
Te 0.500 0.000 0.000

Q: Which of these has the lowest uncorrected formation energy?
A: number 1

Q: The highest mass density belongs to which entry?
A: Be3Te4